Entry from the Alexandria database: a relaxed structure of TlMoN2O (GGA+U).

Calculated values
* raw total energy: -30.15 eV per cell

extended XYZ file:
```
5
Lattice="4.0916 0.0000 0.0000 0.0000 4.0916 0.0000 0.0000 0.0000 3.9931" Properties=species:S:1:pos:R:3 pbc="T T T"
Tl 0.0000 0.0000 0.0000
Mo 2.0458 2.0458 1.9966
N 0.0000 2.0458 1.9966
N 2.0458 0.0000 1.9966
O 2.0458 2.0458 0.0000
```